(1)
{
  "formula": "SrNpCu2Se4",
  "functional": "PBE",
  "state": "optimized geometry",
  "e_form_raw_mev_per_atom": -799,
  "volume_a3_per_cell": 195,
  "spacegroup": "I222",
  "dos_ef_per_ev_cell": 9.91,
  "final_energy_ev_per_cell": -43.145,
  "lattice_angstrom": [[-3.393, 3.607, 3.974], [3.393, -3.607, 3.974], [3.393, 3.607, -3.974]],
  "species": ["Sr", "Np", "Cu", "Cu", "Se", "Se", "Se", "Se"],
  "frac_coords": [[0.000, 0.000, 0.000], [0.500, 0.500, 0.000], [0.335, 0.835, 0.500], [0.665, 0.165, 0.500], [0.073, 0.046, 0.536], [0.490, 0.954, 0.027], [0.510, 0.537, 0.464], [0.927, 0.463, 0.973]]
}


(2)
{
  "formula": "BiP3Pb4O13",
  "functional": "PBE",
  "state": "optimized geometry",
  "e_form_raw_mev_per_atom": -1838,
  "volume_a3_per_cell": 1325,
  "spacegroup": "Pnma",
  "dos_ef_per_ev_cell": 0.00,
  "final_energy_ev_per_cell": -551.997,
  "lattice_angstrom": [[13.425, 0.000, 0.000], [0.000, 10.189, 0.000], [0.000, 0.000, 9.691]],
  "species": ["Bi", "Bi", "Bi", "Bi", "P", "P", "P", "P", "P", "P", "P", "P", "P", "P", "P", "P", "Pb", "Pb", "Pb", "Pb", "Pb", "Pb", "Pb", "Pb", "Pb", "Pb", "Pb", "Pb", "Pb", "Pb", "Pb", "Pb", "O", "O", "O", "O", "O", "O", "O", "O", "O", "O", "O", "O", "O", "O", "O", "O", "O", "O", "O", "O", "O", "O", "O", "O", "O", "O", "O", "O", "O", "O", "O", "O", "O", "O", "O", "O", "O", "O", "O", "O", "O", "O", "O", "O", "O", "O", "O", "O", "O", "O", "O", "O"],
  "frac_coords": [[0.226, 0.250, 0.207], [0.274, 0.750, 0.707], [0.726, 0.250, 0.293], [0.774, 0.750, 0.793], [0.017, 0.250, 0.089], [0.173, 0.539, 0.428], [0.173, 0.961, 0.428], [0.327, 0.039, 0.928], [0.327, 0.461, 0.928], [0.483, 0.750, 0.589], [0.517, 0.250, 0.411], [0.673, 0.539, 0.072], [0.673, 0.961, 0.072], [0.827, 0.039, 0.572], [0.827, 0.461, 0.572], [0.983, 0.750, 0.911], [0.012, 0.250, 0.472], [0.067, 0.061, 0.798], [0.067, 0.439, 0.798], [0.228, 0.750, 0.134], [0.272, 0.250, 0.634], [0.433, 0.561, 0.298], [0.433, 0.939, 0.298], [0.488, 0.750, 0.972], [0.512, 0.250, 0.028], [0.567, 0.061, 0.702], [0.567, 0.439, 0.702], [0.728, 0.750, 0.366], [0.772, 0.250, 0.866], [0.933, 0.561, 0.202], [0.933, 0.939, 0.202], [0.988, 0.750, 0.528], [0.003, 0.750, 0.071], [0.066, 0.581, 0.383], [0.066, 0.919, 0.383], [0.082, 0.750, 0.833], [0.086, 0.129, 0.125], [0.086, 0.371, 0.125], [0.104, 0.250, 0.671], [0.185, 0.114, 0.417], [0.185, 0.386, 0.417], [0.186, 0.580, 0.582], [0.186, 0.920, 0.582], [0.249, 0.105, 0.834], [0.249, 0.395, 0.834], [0.251, 0.605, 0.334], [0.251, 0.895, 0.334], [0.314, 0.080, 0.082], [0.314, 0.420, 0.082], [0.315, 0.614, 0.917], [0.315, 0.886, 0.917], [0.396, 0.750, 0.171], [0.414, 0.629, 0.625], [0.414, 0.871, 0.625], [0.418, 0.250, 0.333], [0.434, 0.081, 0.883], [0.434, 0.419, 0.883], [0.497, 0.250, 0.571], [0.503, 0.750, 0.429], [0.566, 0.581, 0.117], [0.566, 0.919, 0.117], [0.582, 0.750, 0.667], [0.586, 0.129, 0.375], [0.586, 0.371, 0.375], [0.604, 0.250, 0.829], [0.685, 0.114, 0.083], [0.685, 0.386, 0.083], [0.686, 0.580, 0.918], [0.686, 0.920, 0.918], [0.749, 0.105, 0.666], [0.749, 0.395, 0.666], [0.751, 0.605, 0.166], [0.751, 0.895, 0.166], [0.814, 0.080, 0.418], [0.814, 0.420, 0.418], [0.815, 0.614, 0.583], [0.815, 0.886, 0.583], [0.896, 0.750, 0.329], [0.914, 0.629, 0.875], [0.914, 0.871, 0.875], [0.918, 0.250, 0.167], [0.934, 0.081, 0.617], [0.934, 0.419, 0.617], [0.997, 0.250, 0.929]]
}